Below is crystalline NaHgBiAs at its relaxed geometry, with properties calculated at the PBE level.

a b c (Å): 5.2676 5.2676 5.2676
angles (deg): 60.00 60.00 60.00
Closest atoms and distances in Å follow each position.
Positions (direct):
Na 0.0000 0.0000 0.0000  4 Hg 3.23, 4 As 3.23
Hg 0.2500 0.2500 0.2500  4 Bi 3.23, 4 Na 3.23
Bi 0.5000 0.5000 0.5000  4 As 3.23, 4 Hg 3.23
As 0.7500 0.7500 0.7500  4 Bi 3.23, 4 Na 3.23

- Crystal system: cubic
- Energy above the most stable polymorph in this dataset: 25 meV/atom
- Energy of formation: -0.042 eV per atom